# 1
{"formula": "Zr2VOs2", "functional": "PBE-GGA", "state": "relaxed", "vol_a3_per_atom": 18.32, "total_energy_ev_per_atom": -9.95, "formation_enthalpy_0k_mev_per_atom": -214, "lattice_angstrom": [[6.4118, 0.0000, 0.0000], [0.0000, 6.4118, 0.0000], [0.0000, 0.0000, 4.4574]], "species": ["Zr", "Zr", "Zr", "Zr", "V", "V", "Os", "Os", "Os", "Os"], "fractional_positions": [[0.6819, 0.8181, 0.5000], [0.1819, 0.6819, 0.5000], [0.3181, 0.1819, 0.5000], [0.8181, 0.3181, 0.5000], [0.5000, 0.5000, 0.0000], [0.0000, 0.0000, 0.0000], [0.3606, 0.8606, 0.0000], [0.8606, 0.6394, 0.0000], [0.6394, 0.1394, 0.0000], [0.1394, 0.3606, 0.0000]]}


# 2
{"formula": "CaAlInPd2", "functional": "PBE-GGA", "state": "relaxed", "vol_a3_per_atom": 28.33, "total_energy_ev_per_atom": -3.02, "formation_enthalpy_0k_mev_per_atom": 756, "lattice_angstrom": [[-4.4487, 1.9826, 0.9210], [-1.7397, -1.4391, -5.3052], [-1.5944, -4.3713, 1.7086]], "species": ["Pd", "Pd", "In", "Ca", "Al"], "fractional_positions": [[0.5000, 0.0000, 0.0000], [0.0000, 0.0000, 0.5000], [0.0000, 0.5000, 0.0000], [0.0000, 0.0000, 0.0000], [0.5000, 0.5000, 0.5000]]}


# 3
{"formula": "PPtN2O", "functional": "PBE-GGA", "state": "relaxed", "vol_a3_per_atom": 9.12, "total_energy_ev_per_atom": -5.85, "raw_formation_energy_ev_per_atom": 0.76, "lattice_angstrom": [[3.7670, 0.0000, 0.0000], [0.0000, 3.7670, 0.0000], [0.0000, 0.0000, 3.2140]], "species": ["N", "N", "Pt", "P", "O"], "fractional_positions": [[0.0000, 0.5000, 0.0000], [0.5000, 0.0000, 0.0000], [0.5000, 0.5000, 0.5000], [0.0000, 0.0000, 0.0000], [0.0000, 0.0000, 0.5000]]}


# 4
{"formula": "LiPtAu", "functional": "PBE-GGA", "state": "relaxed", "vol_a3_per_atom": 15.85, "total_energy_ev_per_atom": -3.86, "formation_enthalpy_0k_mev_per_atom": -111, "lattice_angstrom": [[4.0669, 0.0000, 0.0000], [2.0334, 3.5220, 0.0000], [2.0334, 1.1740, 3.3206]], "species": ["Pt", "Au", "Li"], "fractional_positions": [[0.0000, 0.0000, 0.0000], [0.5000, 0.5000, 0.5000], [0.7500, 0.7500, 0.7500]]}


# 5
{"formula": "Rb2PdCl2F4", "functional": "PBE-GGA", "state": "relaxed", "vol_a3_per_atom": 21.68, "total_energy_ev_per_atom": -3.81, "raw_formation_energy_ev_per_atom": -1.78, "lattice_angstrom": [[6.3810, 0.1867, 0.2694], [-2.8992, 5.6874, -0.2694], [-2.8992, -2.2504, 5.2302]], "species": ["F", "F", "F", "F", "Cl", "Cl", "Rb", "Rb", "Pd"], "fractional_positions": [[0.4078, 0.2039, 0.2039], [0.0000, 0.7961, 0.2039], [0.5922, 0.7961, 0.7961], [0.0000, 0.2039, 0.7961], [0.0000, 0.7219, 0.7219], [0.0000, 0.2781, 0.2781], [0.5000, 0.2500, 0.7500], [0.5000, 0.7500, 0.2500], [0.0000, 0.0000, 0.0000]]}


# 6
{"formula": "MnCo2Sb", "functional": "PBE-GGA", "state": "relaxed", "vol_a3_per_atom": 13.55, "total_energy_ev_per_atom": -6.82, "raw_formation_energy_ev_per_atom": 0.06, "lattice_angstrom": [[-1.4878, -2.7745, -3.5429], [3.1102, -0.2659, -3.5665], [0.3250, -0.5445, 4.6970]], "species": ["Co", "Co", "Mn", "Sb"], "fractional_positions": [[0.0000, 0.0000, 0.0000], [0.7500, 0.2500, 0.5000], [0.4999, 0.4999, 0.0000], [0.2501, 0.7501, 0.5000]]}


# 7
{"formula": "K3Pm2PrTe6", "functional": "PBE-GGA", "state": "relaxed", "vol_a3_per_atom": 38.02, "total_energy_ev_per_atom": -4.45, "raw_formation_energy_ev_per_atom": -1.42, "lattice_angstrom": [[-3.7883, 6.4169, 2.8756], [0.4582, -6.6632, 4.3805], [8.1752, 2.7592, 0.9134]], "species": ["Te", "Te", "Te", "Te", "Te", "Te", "K", "K", "K", "Pr", "Pm", "Pm"], "fractional_positions": [[0.5920, 0.9285, 0.7857], [0.7349, 0.7349, 0.2142], [0.2651, 0.2651, 0.7858], [0.4080, 0.0715, 0.2143], [0.0715, 0.4080, 0.2143], [0.9285, 0.5920, 0.7857], [0.8339, 0.1661, 0.5000], [0.1661, 0.8339, 0.5000], [0.5000, 0.5000, 0.5000], [0.0000, 0.0000, 0.0000], [0.3333, 0.6667, 0.0000], [0.6667, 0.3333, 0.0000]]}


# 8
{"formula": "GdYPtPb", "functional": "PBE-GGA", "state": "relaxed", "vol_a3_per_atom": 25.06, "total_energy_ev_per_atom": -8.32, "formation_enthalpy_0k_mev_per_atom": -742, "lattice_angstrom": [[-0.7555, 0.2004, 5.1551], [4.0199, -0.6714, 3.2520], [1.8318, 4.0345, 2.7484]], "species": ["Y", "Pt", "Gd", "Pb"], "fractional_positions": [[0.0000, 0.0000, 0.0000], [0.7500, 0.7500, 0.7500], [0.5000, 0.5000, 0.5000], [0.2500, 0.2500, 0.2500]]}


# 9
{"formula": "Rb2SrCd3Hg12", "functional": "PBE-GGA", "state": "relaxed", "vol_a3_per_atom": 31.92, "total_energy_ev_per_atom": -0.65, "formation_enthalpy_0k_mev_per_atom": -97, "lattice_angstrom": [[0.1028, 8.2551, 1.1336], [-7.8310, 1.0586, -2.6450], [-3.2710, -0.4124, 7.6532]], "species": ["Hg", "Hg", "Hg", "Hg", "Hg", "Hg", "Hg", "Hg", "Hg", "Hg", "Hg", "Hg", "Cd", "Cd", "Cd", "Rb", "Rb", "Sr"], "fractional_positions": [[0.5929, 0.5929, 0.1184], [0.7990, 0.7990, 0.2898], [0.4071, 0.4071, 0.8816], [0.5929, 0.1184, 0.5929], [0.1184, 0.5929, 0.5929], [0.7990, 0.2898, 0.7990], [0.7102, 0.2010, 0.2010], [0.2010, 0.2010, 0.7102], [0.2898, 0.7990, 0.7990], [0.2010, 0.7102, 0.2010], [0.8816, 0.4071, 0.4071], [0.4071, 0.8816, 0.4071], [0.0000, 0.0000, 0.5000], [0.0000, 0.5000, 0.0000], [0.5000, 0.0000, 0.0000], [0.6986, 0.6986, 0.6986], [0.3014, 0.3014, 0.3014], [0.0000, 0.0000, 0.0000]]}


# 10
{"formula": "Er2Pu3NpTe6", "functional": "PBE-GGA", "state": "relaxed", "vol_a3_per_atom": 29.86, "total_energy_ev_per_atom": -8.06, "raw_formation_energy_ev_per_atom": -1.06, "lattice_angstrom": [[-0.8748, -3.4317, -2.5662], [4.9987, -5.1133, 5.1336], [-8.2943, 1.0309, 5.1756]], "species": ["Te", "Te", "Te", "Te", "Te", "Te", "Er", "Er", "Pu", "Pu", "Pu", "Np"], "fractional_positions": [[0.3312, 0.4224, 0.6624], [0.6671, 0.0872, 0.3342], [0.6688, 0.5776, 0.3376], [0.9981, 0.7499, 0.9963], [0.3329, 0.9128, 0.6658], [0.0019, 0.2501, 0.0037], [0.8336, 0.6683, 0.6671], [0.1664, 0.3317, 0.3329], [0.5000, 0.5000, 0.0000], [0.8344, 0.1682, 0.6689], [0.1656, 0.8318, 0.3311], [0.5000, 0.0000, 0.0000]]}


# 11
{"formula": "Sr6IrBr2", "functional": "PBE-GGA", "state": "relaxed", "vol_a3_per_atom": 42.31, "total_energy_ev_per_atom": -3.19, "raw_formation_energy_ev_per_atom": -0.71, "lattice_angstrom": [[7.1537, 0.0000, 0.0000], [0.0000, 8.1390, -0.4268], [0.0000, 0.6754, 13.0460]], "species": ["Ir", "Ir", "Br", "Br", "Br", "Br", "Sr", "Sr", "Sr", "Sr", "Sr", "Sr", "Sr", "Sr", "Sr", "Sr", "Sr", "Sr"], "fractional_positions": [[0.5000, 0.5000, 0.0000], [0.0000, 0.0000, 0.5000], [0.4999, 0.0003, 0.1528], [0.9999, 0.4997, 0.3472], [0.5001, 0.9997, 0.8472], [0.0001, 0.5003, 0.6528], [0.2735, 0.6552, 0.8384], [0.7388, 0.2810, 0.5001], [0.7735, 0.8448, 0.6616], [0.2265, 0.1552, 0.3384], [0.2388, 0.2190, 0.9999], [0.7733, 0.8445, 0.3384], [0.7612, 0.7810, 0.0001], [0.2267, 0.1555, 0.6616], [0.2612, 0.7190, 0.4999], [0.7267, 0.3445, 0.8384], [0.7265, 0.3448, 0.1616], [0.2733, 0.6555, 0.1616]]}


# 12
{"formula": "MnRe2Ru", "functional": "PBE-GGA", "state": "relaxed", "vol_a3_per_atom": 13.80, "total_energy_ev_per_atom": -10.83, "formation_enthalpy_0k_mev_per_atom": 5, "e_above_lowest_polymorph_ev_per_fu": 0.00, "lattice_angstrom": [[4.3264, 0.0000, 0.0000], [0.0000, 2.7301, 0.0023], [0.0000, -0.0043, 4.6732]], "species": ["Ru", "Mn", "Re", "Re"], "fractional_positions": [[0.0000, 0.6251, 0.4580], [0.5000, 0.6248, 0.8020], [0.0000, 0.1251, 0.9484], [0.5000, 0.1250, 0.2917]]}